Entry from Alexandria: crystalline KAlTl at its relaxed geometry (PBEsol).

a = 5.153 Å, b = 5.153 Å, c = 5.153 Å
α = 60.00°, β = 60.00°, γ = 60.00°
Fractional coordinates of all 3 atoms:
K 0.000 0.000 0.000
Al 0.500 0.500 0.500
Tl 0.750 0.750 0.750

Calculated values
symmetry: F-43m (216)
E_form: 340 meV/atom
total magnetization: 0.001 μB per formula unit
ρ: 4.6 g/cm³
DOS at the Fermi energy: 3.10 states/eV/cell
volume: 97 Å³/cell